No. 1
LiSmDy2Cd4 | GGA-PBE | optimized geometry

Its volume is 202.1 Å³/f.u. As for the energy of formation: -270 meV/atom.

It has space group R-3m (No. 166, hexagonal axes), with a = 5.2056 Å, b = 5.2056 Å, c = 25.8333 Å, α = 90.00°, β = 90.00° and γ = 120.00°. Symmetry generates all atoms from Li at (0.0000, 0.0000, 0.0000), Sm at (0.0000, 0.0000, 0.5000), Dy at (0.0000, 0.0000, 0.2524), Cd at (0.0000, 0.0000, 0.1178) and Cd at (0.0000, 0.0000, 0.3730).

No. 2
Al4SiOs | GGA-PBE | optimized geometry

The value obtained for the calculated total energy is -4.9419 eV/atom. Its volume is 90.7 Å³/f.u.

It has space group F-43m (No. 216), with a = 7.131 Å, b = 7.131 Å, c = 7.131 Å, α = 90.00°, β = 90.00° and γ = 90.00°. Symmetry generates all atoms from Al at (0.125, 0.125, 0.125), Si at (0.000, 0.000, 0.500) and Os at (0.250, 0.250, 0.750).

No. 3
Si3Hg | GGA-PBE | optimized geometry

Its volume is 77.7 Å³/f.u. As for the relative energy among the computed polymorphs: 114 meV per atom.

It has space group R-3m (No. 166, hexagonal axes), with a = 2.9777 Å, b = 2.9777 Å, c = 30.3554 Å, α = 90.00°, β = 90.00° and γ = 120.00°. Symmetry generates all atoms from Si at (0.0000, 0.0000, 0.0000), Si at (0.0000, 0.0000, 0.2702) and Hg at (0.0000, 0.0000, 0.5000).

No. 4
Li4CdGa2 | GGA-PBE | optimized geometry

Its volume is 124.7 Å³/f.u. As for the energy of formation: -176 meV/atom. As for the relative energy among the computed polymorphs: 0 meV per atom.

It has space group Immm (No. 71), with a = 2.915 Å, b = 4.669 Å, c = 18.319 Å, α = 90.00°, β = 90.00° and γ = 90.00°. Symmetry generates all atoms from Li at (0.000, 0.000, 0.090), Li at (0.000, 0.000, 0.356), Cd at (0.000, 0.500, 0.000) and Ga at (0.000, 0.500, 0.279).

No. 5
Si2BPdRu | GGA-PBE | optimized geometry

The value obtained for the calculated total energy is -5.8491 eV/atom. Its volume is 66.8 Å³/f.u.

It has space group P4/mmm (No. 123), with a = 4.042 Å, b = 4.042 Å, c = 4.087 Å, α = 90.00°, β = 90.00° and γ = 90.00°. Symmetry generates all atoms from Si at (0.000, 0.500, 0.000), B at (0.000, 0.000, 0.000), Pd at (0.000, 0.000, 0.500) and Ru at (0.500, 0.500, 0.500).

No. 6
BeSnAs3 | GGA-PBE | optimized geometry

Its volume is 99.0 Å³/f.u. As for the energy of formation: 405 meV/atom. As for the relative energy among the computed polymorphs: 0 meV per atom.

It has space group Pm-3m (No. 221), with a = 4.626 Å, b = 4.626 Å, c = 4.626 Å, α = 90.00°, β = 90.00° and γ = 90.00°. Symmetry generates all atoms from Be at (0.000, 0.000, 0.000), Sn at (0.500, 0.500, 0.500) and As at (0.000, 0.000, 0.500).

No. 7
Tb5Tl2C2 | GGA-PBE | optimized geometry

Its volume is 230.1 Å³/f.u. As for the energy of formation: -141 meV/atom.

It has space group P4/mmm (No. 123), with a = 4.857 Å, b = 4.857 Å, c = 9.755 Å, α = 90.00°, β = 90.00° and γ = 90.00°. Symmetry generates all atoms from Tb at (0.000, 0.000, 0.000), Tb at (0.000, 0.500, 0.280), Tl at (0.500, 0.500, 0.000), Tl at (0.500, 0.500, 0.500) and C at (0.000, 0.000, 0.240).

No. 8
Li2MnSn2 | GGA-PBE | optimized geometry

Its volume is 93.8 Å³/f.u. As for the energy of formation: 198 meV/atom.

It has space group P4/mbm (No. 127), with a = 6.939 Å, b = 6.939 Å, c = 3.897 Å, α = 90.00°, β = 90.00° and γ = 90.00°. Symmetry generates all atoms from Li at (0.152, 0.348, 0.000), Mn at (0.000, 0.000, 0.500) and Sn at (0.159, 0.659, 0.500).

Question: volume of number 5 (Si2BPdRu)?
Answer: 66.8 Å³/f.u.

Question: Look up the volume of the fifth one.
Answer: 66.8 Å³/f.u.

Question: Among the records above, which one has the highest volume?
Answer: Tb5Tl2C2